Record 1
PBE-GGA CaAlBr, relaxed; uncorrected energy = -7.88 eV for the cell shown; formation energy without anion corrections = -0.46 eV per formula unit
1.0
-1.589 4.281 2.141
-3.124 -0.167 3.956
1.662 1.296 4.583
Br Al Ca
1 1 1
Direct
0.750 0.750 0.750
0.500 0.500 0.500
0.000 0.000 0.000



Record 2
PBE-GGA BaAc2Mg2Ge2, relaxed; formation enthalpy at 0 K = -2.253 eV/f.u.; uncorrected energy = -24.82 eV for the cell shown
1.0
-0.547 1.917 4.117
0.850 -2.426 3.784
12.549 3.852 2.416
Ge Ac Ba Mg
2 2 1 2
Direct
0.736 0.736 0.791
0.264 0.264 0.209
0.123 0.123 0.630
0.877 0.877 0.370
0.000 0.000 0.000
0.603 0.603 0.191
0.397 0.397 0.809



Record 3
PBE-GGA Sr2CeIrO8, relaxed; uncorrected energy = -81.13 eV for the cell shown; formation energy without anion corrections = -23.30 eV per formula unit
1.0
-2.010 -2.937 3.915
-3.219 -2.236 -3.583
4.825 -4.956 -1.240
Ce O Sr Ir
1 8 2 1
Direct
0.000 0.000 0.500
0.171 0.831 0.202
0.724 0.722 0.500
0.171 0.832 0.798
0.750 0.748 0.000
0.250 0.252 0.000
0.829 0.168 0.202
0.276 0.278 0.500
0.829 0.169 0.798
0.500 0.500 0.245
0.500 0.500 0.755
0.000 0.000 0.000



Record 4
PBE-GGA Mg2InAg8, relaxed; formation enthalpy at 0 K = -0.828 eV/f.u.; uncorrected energy = -29.57 eV for the cell shown; relative energy among the computed polymorphs = 0 meV per atom
1.0
4.279 0.040 -1.289
-0.916 6.541 -2.834
-0.032 -0.594 7.754
Ag Mg In
8 2 1
Direct
0.292 0.341 0.220
0.981 0.030 0.598
0.137 0.472 0.909
0.333 0.875 0.301
0.789 0.053 0.213
0.637 0.187 0.909
0.940 0.483 0.517
0.484 0.749 0.606
0.787 0.615 0.210
0.485 0.315 0.608
0.136 0.880 0.909



Record 5
PBE-GGA CrFeSb2Te, relaxed; uncorrected energy = -26.30 eV for the cell shown; formation energy without anion corrections = 3.17 eV per formula unit; relative energy among the computed polymorphs = 0 meV per atom
1.0
4.734 0.000 0.000
0.000 4.734 0.000
0.000 0.000 5.677
Fe Cr Sb Te
1 1 2 1
Direct
0.000 0.000 0.000
0.500 0.500 0.500
0.500 0.000 0.000
0.000 0.500 0.000
0.000 0.000 0.500



Record 6
PBE-GGA ZrSc2Tl, relaxed; formation enthalpy at 0 K = -0.295 eV/f.u.; uncorrected energy = -23.87 eV for the cell shown; relative energy among the computed polymorphs = 94 meV per atom
1.0
6.049 0.005 0.011
2.837 5.343 -0.011
-3.870 -3.626 2.910
Sc Zr Tl
2 1 1
Direct
0.988 0.988 0.000
0.512 0.512 0.000
0.250 0.750 0.500
0.750 0.250 0.500



Record 7
PBE-GGA Zn2Cu4Si, relaxed; uncorrected energy = -23.90 eV for the cell shown; formation energy without anion corrections = 0.46 eV per formula unit
1.0
-3.972 2.588 -1.872
0.330 -4.983 -1.021
0.241 -0.737 5.038
Zn Si Cu
2 1 4
Direct
0.500 0.500 0.000
0.500 0.000 0.500
0.000 0.000 0.000
0.500 0.500 0.500
0.000 0.500 0.000
0.000 0.000 0.500
0.500 0.000 0.000



Record 8
PBE-GGA CeH2Br, relaxed; uncorrected energy = -17.88 eV for the cell shown; relative energy among the computed polymorphs = 101 meV per atom
1.0
3.909 0.000 0.000
1.955 3.386 0.000
1.955 1.129 4.871
H Br Ce
2 1 1
Direct
0.306 0.306 0.082
0.694 0.694 0.918
0.500 0.500 0.500
0.000 0.000 0.000



Q: Which value of uncorrected energy does entry 5 give?
A: -26.30 eV for the cell shown